No. 1
MnCo2Br | GGA-PBE | optimized geometry

Unit cell a=3.196 b=3.374 c=6.337 alpha=90.19 beta=90.00 gamma=90.00
Site moments in Bohr magnetons follow the coordinates.
Element x y z (fractional)
Co (0.000, 0.751, 0.426)  1.89
Co (0.000, 0.749, 0.074)  1.89
Br (0.500, 0.750, 0.750)  0.10
Mn (0.500, 0.250, 0.250)  3.60

* energy relative to the elements, uncorrected: 402 meV/atom
* electronic total energy: -23.4 eV per cell
* DOS(E_F): 0.67 states/eV per atom
* excess energy over the best structure of this formula in the dataset: 0.0607 eV/atom

---

No. 2
MnCoBr2 | GGA-PBE | optimized geometry

Unit cell a=4.608 b=4.608 c=6.998 alpha=90.43 beta=90.43 gamma=47.36
Site moments in Bohr magnetons follow the coordinates.
Element x y z (fractional)
Mn (0.264, 0.264, 0.375)  3.99
Br (0.981, 0.981, 0.144)  0.08
Br (0.700, 0.700, 0.634)  0.07
Co (0.555, 0.555, 0.347)  1.53

* energy relative to the elements, uncorrected: 7 meV/atom
* electronic total energy: -19.6 eV per cell
* DOS(E_F): 0.52 states/eV per atom
* excess energy over the best structure of this formula in the dataset: 0.0919 eV/atom

---

No. 3
MnCoBr | GGA-PBE | optimized geometry

Unit cell a=5.982 b=5.997 c=5.997 alpha=150.89 beta=148.57 gamma=43.39
Site moments in Bohr magnetons follow the coordinates.
Element x y z (fractional)
Br (0.720, 0.991, 0.730)  0.06
Co (0.455, 0.315, 0.140)  1.67
Mn (0.825, 0.694, 0.131)  3.71

* energy relative to the elements, uncorrected: 428 meV/atom
* electronic total energy: -16.7 eV per cell
* DOS(E_F): 0.92 states/eV per atom

---

No. 4
MnCoBr2 | GGA-PBE | optimized geometry

Unit cell a=4.459 b=4.459 c=4.459 alpha=60.00 beta=60.00 gamma=60.00
Site moments in Bohr magnetons follow the coordinates.
Element x y z (fractional)
Br (0.750, 0.750, 0.750)  -0.04
Br (0.250, 0.250, 0.250)  -0.04
Mn (0.000, 0.000, 0.000)  -0.49
Co (0.500, 0.500, 0.500)  -1.54

* energy relative to the elements, uncorrected: 921 meV/atom
* electronic total energy: -15.9 eV per cell
* DOS(E_F): 0.99 states/eV per atom
* excess energy over the best structure of this formula in the dataset: 1.0063 eV/atom